Record 1
# Ac5LaSmY2 (PBE-GGA, relaxed)
data_Ac5LaSmY2
_cell_length_a 6.015
_cell_length_b 21.774
_cell_length_c 11.260
_cell_angle_alpha 90.00
_cell_angle_beta 90.00
_cell_angle_gamma 90.00
_symmetry_space_group_name_H-M 'C m c 21'
_symmetry_Int_Tables_number 36
loop_
_symmetry_equiv_pos_as_xyz
'x,y,z'
'-x,-y,z+1/2'
'-x,y,z'
'x,-y,z+1/2'
'x+1/2,y+1/2,z'
'-x+1/2,-y+1/2,z+1/2'
'-x+1/2,y+1/2,z'
'x+1/2,-y+1/2,z+1/2'
loop_
_atom_site_label
_atom_site_fract_x
_atom_site_fract_y
_atom_site_fract_z
_atom_site_occupancy
Ac1 0.000 0.012 0.000 1
Ac2 0.000 0.277 0.308 1
Ac3 0.000 0.299 0.690 1
Ac4 0.000 0.376 0.006 1
Ac5 0.000 0.486 0.730 1
La1 0.000 0.409 0.445 1
Sm1 0.000 0.192 0.001 1
Y1 0.000 0.112 0.286 1
Y2 0.000 0.115 0.731 1
# Formation energy from the elements ... 0.16 eV per atom
# Density of states at the Fermi level ... 15.12 states/eV/f.u.
# Crystal system ... orthorhombic



Record 2
# Er8GaAg2 (PBE-GGA, relaxed)
data_Er8GaAg2
_cell_length_a 17.583
_cell_length_b 5.123
_cell_length_c 6.854
_cell_angle_alpha 90.00
_cell_angle_beta 107.17
_cell_angle_gamma 90.00
_symmetry_space_group_name_H-M 'C 1 2/m 1'
_symmetry_Int_Tables_number 12
loop_
_symmetry_equiv_pos_as_xyz
'x,y,z'
'-x,-y,-z'
'-x,y,-z'
'x,-y,z'
'x+1/2,y+1/2,z'
'-x+1/2,-y+1/2,-z'
'-x+1/2,y+1/2,-z'
'x+1/2,-y+1/2,z'
loop_
_atom_site_label
_atom_site_fract_x
_atom_site_fract_y
_atom_site_fract_z
_atom_site_occupancy
Er1 0.027 0.000 0.281 1
Er2 0.093 0.500 0.957 1
Er3 0.167 0.500 0.477 1
Er4 0.197 0.000 0.813 1
Ga1 0.000 0.500 0.500 1
Ag1 0.183 0.000 0.218 1
# Formation energy from the elements ... -0.21 eV per atom
# Density of states at the Fermi level ... 9.10 states/eV/f.u.
# Crystal system ... monoclinic



Record 3
# Zr4Bi2Sb (PBE-GGA, relaxed)
data_Zr4Bi2Sb
_cell_length_a 8.780
_cell_length_b 8.780
_cell_length_c 8.821
_cell_angle_alpha 90.00
_cell_angle_beta 90.00
_cell_angle_gamma 90.00
_symmetry_space_group_name_H-M 'I -4 2 d'
_symmetry_Int_Tables_number 122
_symmetry_space_group_name_Hall 'I -4 2bw'
loop_
_atom_site_label
_atom_site_fract_x
_atom_site_fract_y
_atom_site_fract_z
_atom_site_occupancy
Zr1 0.077 0.177 0.290 1
Bi1 0.120 0.250 0.625 1
Sb1 0.000 0.000 0.000 1
# ΔE_f (raw) ... -3.080 eV per formula unit
# Density of states at the Fermi level ... 4.56 states/eV/f.u.
# Crystal system ... tetragonal



Record 4
# Ac3ThO7 (PBE-GGA, relaxed)
data_Ac3ThO7
_cell_length_a 8.229
_cell_length_b 11.744
_cell_length_c 8.391
_cell_angle_alpha 90.00
_cell_angle_beta 90.00
_cell_angle_gamma 90.00
_symmetry_space_group_name_H-M 'C m c m'
_symmetry_Int_Tables_number 63
_symmetry_space_group_name_Hall '-C 2c 2'
loop_
_atom_site_label
_atom_site_fract_x
_atom_site_fract_y
_atom_site_fract_z
_atom_site_occupancy
Ac1 0.000 0.000 0.000 1
Ac2 0.235 0.265 0.250 1
Th1 0.000 0.500 0.000 1
O1 0.000 0.130 0.750 1
O2 0.000 0.134 0.250 1
O3 0.000 0.413 0.250 1
O4 0.214 0.377 0.528 1
# ΔE_f (raw) ... -36.267 eV per formula unit
# Density of states at the Fermi level ... 8.05 states/eV/f.u.
# Crystal system ... orthorhombic



Record 5
# HfGeBiIr2N (PBE-GGA, relaxed)
data_HfGeBiIr2N
_cell_length_a 10.509
_cell_length_b 4.071
_cell_length_c 5.714
_cell_angle_alpha 90.00
_cell_angle_beta 120.58
_cell_angle_gamma 90.00
_symmetry_space_group_name_H-M 'C 1 m 1'
_symmetry_Int_Tables_number 8
loop_
_symmetry_equiv_pos_as_xyz
'x,y,z'
'x,-y,z'
'x+1/2,y+1/2,z'
'x+1/2,-y+1/2,z'
loop_
_atom_site_label
_atom_site_fract_x
_atom_site_fract_y
_atom_site_fract_z
_atom_site_occupancy
Hf1 0.000 0.000 0.000 1
Ge1 0.216 0.000 0.756 1
Bi1 0.405 0.000 0.427 1
Ir1 0.207 0.500 0.000 1
Ir2 0.233 0.500 0.520 1
N1 0.042 0.500 0.108 1
# ΔE_f (raw) ... -1.700 eV per formula unit
# Density of states at the Fermi level ... 2.63 states/eV/f.u.
# Energy above the lowest structure with this stoichiometry ... 1.263 eV/f.u.
# Crystal system ... monoclinic



Record 6
# LaPaSi3 (PBE-GGA, relaxed)
data_LaPaSi3
_cell_length_a 4.284
_cell_length_b 24.984
_cell_length_c 4.010
_cell_angle_alpha 90.00
_cell_angle_beta 90.00
_cell_angle_gamma 90.00
_symmetry_space_group_name_H-M 'C m c m'
_symmetry_Int_Tables_number 63
_symmetry_space_group_name_Hall '-C 2c 2'
loop_
_atom_site_label
_atom_site_fract_x
_atom_site_fract_y
_atom_site_fract_z
_atom_site_occupancy
La1 0.000 0.071 0.250 1
Pa1 0.000 0.204 0.750 1
Si1 0.000 0.320 0.750 1
Si2 0.000 0.377 0.250 1
Si3 0.000 0.475 0.250 1
# ΔE_f (raw) ... -2.905 eV per formula unit
# Density of states at the Fermi level ... 6.07 states/eV/f.u.
# Crystal system ... orthorhombic



Record 7
# HfPdRu (PBE-GGA, relaxed)
data_HfPdRu
_cell_length_a 3.207
_cell_length_b 3.207
_cell_length_c 21.043
_cell_angle_alpha 90.00
_cell_angle_beta 90.00
_cell_angle_gamma 90.00
_symmetry_space_group_name_H-M 'I 4/m m m'
_symmetry_Int_Tables_number 139
_symmetry_space_group_name_Hall '-I 4 2'
loop_
_atom_site_label
_atom_site_fract_x
_atom_site_fract_y
_atom_site_fract_z
_atom_site_occupancy
Hf1 0.000 0.000 0.137 1
Pd1 0.000 0.000 0.438 1
Ru1 0.000 0.000 0.292 1
# Formation energy from the elements ... -0.35 eV per atom
# Density of states at the Fermi level ... 2.98 states/eV/f.u.
# Crystal system ... tetragonal



Record 8
# AlPbSCl2 (PBE-GGA, relaxed)
data_AlPbSCl2
_cell_length_a 5.594
_cell_length_b 5.594
_cell_length_c 5.858
_cell_angle_alpha 90.00
_cell_angle_beta 90.00
_cell_angle_gamma 90.00
_symmetry_space_group_name_H-M 'P 4/m m m'
_symmetry_Int_Tables_number 123
_symmetry_space_group_name_Hall '-P 4 2'
loop_
_atom_site_label
_atom_site_fract_x
_atom_site_fract_y
_atom_site_fract_z
_atom_site_occupancy
Al1 0.000 0.000 0.000 1
Pb1 0.500 0.500 0.500 1
S1 0.500 0.500 0.000 1
Cl1 0.000 0.500 0.500 1
# ΔE_f (raw) ... -0.630 eV per formula unit
# Density of states at the Fermi level ... 5.70 states/eV/f.u.
# Energy above the lowest structure with this stoichiometry ... 2.838 eV/f.u.
# Crystal system ... tetragonal



density of states at the Fermi level of number 1 (Ac5LaSmY2)?
15.12 states/eV/f.u.



Look up the density of states at the Fermi level of the sixth one.
6.07 states/eV/f.u.